! Al3Cr SCAN PBEsol geometry; values from VASP
! calculated total energy: -10.490 eV per atom
! crystal system: tetragonal
! density of states at the Fermi level: 0.56 states/eV per atom
! spin magnetization: 1.42 Bohr magnetons per cell
! E_form: -0.08 eV per atom
&SYSTEM
  ibrav = 0, nat = 4, ntyp = 2
/
ATOMIC_SPECIES
Al 26.98 Al.upf
Cr 52.00 Cr.upf
ATOMIC_POSITIONS crystal
Al 0.000 0.000 0.000
Al 0.500 0.500 0.268
Al 0.500 0.500 0.732
Cr 0.000 0.000 0.500
CELL_PARAMETERS angstrom
3.248 0.000 0.000
0.000 3.248 0.000
0.000 0.000 5.409